# 1
A geometry-optimized RbTb2CuSe4 structure. Source: Alexandria, functional PBE.

Unit cell a=7.490 b=7.490 c=14.460 alpha=90.00 beta=90.00 gamma=147.81
Element x y z (fractional)
Rb (0.110, 0.890, 0.750)
Rb (0.890, 0.110, 0.250)
Tb (0.366, 0.634, 0.564)
Tb (0.366, 0.634, 0.936)
Tb (0.634, 0.366, 0.064)
Tb (0.634, 0.366, 0.436)
Cu (0.162, 0.838, 0.250)
Cu (0.838, 0.162, 0.750)
Se (0.000, 0.000, 0.000)
Se (0.000, 0.000, 0.500)
Se (0.262, 0.738, 0.110)
Se (0.262, 0.738, 0.390)
Se (0.430, 0.570, 0.750)
Se (0.570, 0.430, 0.250)
Se (0.738, 0.262, 0.610)
Se (0.738, 0.262, 0.890)

Output
Volume   216.1 Å³/f.u.
VASP energy   -80.68 eV for the cell shown
ΔE_f (raw)   -1.5094 eV/atom



# 2
A geometry-optimized Rb2CuTe2Se6 structure. Source: Alexandria, functional PBE.

Unit cell a=7.008 b=7.008 c=8.671 alpha=98.28 beta=98.28 gamma=120.99
Element x y z (fractional)
Rb (0.166, 0.834, 0.000)
Rb (0.834, 0.166, 0.000)
Cu (0.000, 0.000, 0.500)
Te (0.330, 0.670, 0.500)
Te (0.670, 0.330, 0.500)
Se (0.068, 0.390, 0.689)
Se (0.234, 0.234, 0.329)
Se (0.390, 0.068, 0.689)
Se (0.610, 0.932, 0.311)
Se (0.766, 0.766, 0.671)
Se (0.932, 0.610, 0.311)

Output
Volume   349.1 Å³/f.u.
VASP energy   -36.96 eV for the cell shown
ΔE_f (raw)   -0.3401 eV/atom